(A)
Density functional theory data (PBE) for an optimized crystal structure of Pr3Al3Pd2.

Symmetry ... Pnma (62)

Cell: 5.712 8.426 15.599 Å, 90.00 90.00 90.00°
Positions (direct):
Pr 0.117 0.459 0.389
Pr 0.617 0.041 0.611
Pr 0.883 0.541 0.889
Pr 0.383 0.959 0.111
Pr 0.883 0.541 0.611
Pr 0.383 0.959 0.389
Pr 0.117 0.459 0.111
Pr 0.617 0.041 0.889
Pr 0.605 0.315 0.250
Pr 0.105 0.185 0.750
Pr 0.395 0.685 0.750
Pr 0.895 0.815 0.250
Al 0.095 0.166 0.250
Al 0.595 0.334 0.750
Al 0.905 0.834 0.750
Al 0.405 0.666 0.250
Al 0.608 0.318 0.465
Al 0.108 0.182 0.535
Al 0.392 0.682 0.965
Al 0.892 0.818 0.035
Al 0.392 0.682 0.535
Al 0.892 0.818 0.465
Al 0.608 0.318 0.035
Al 0.108 0.182 0.965
Pd 0.873 0.104 0.396
Pd 0.373 0.396 0.604
Pd 0.127 0.896 0.896
Pd 0.627 0.604 0.104
Pd 0.127 0.896 0.604
Pd 0.627 0.604 0.396
Pd 0.873 0.104 0.104
Pd 0.373 0.396 0.896


(B)
Density functional theory data (PBE) for an optimized crystal structure of Pr3Al3Pd2.

Symmetry ... Cmcm (63)

Cell: 4.620 5.700 15.505 Å, 90.00 90.00 113.91°
Positions (direct):
Pr 0.916 0.832 0.388
Pr 0.084 0.168 0.888
Pr 0.916 0.832 0.112
Pr 0.084 0.168 0.612
Pr 0.617 0.235 0.250
Pr 0.383 0.765 0.750
Al 0.629 0.257 0.466
Al 0.371 0.743 0.966
Al 0.629 0.257 0.034
Al 0.371 0.743 0.534
Al 0.318 0.637 0.250
Al 0.682 0.363 0.750
Pd 0.795 0.590 0.900
Pd 0.205 0.410 0.400
Pd 0.795 0.590 0.600
Pd 0.205 0.410 0.100


What are the relative energies? In kJ/mol of atoms: (A) 0.9; (B) 0.0.